! FeSb2O | Alexandria via LeMat-Bulk | PBE with a Hubbard U | relaxed; values from VASP
&SYSTEM
  ibrav = 0, nat = 8, ntyp = 3
/
ATOMIC_SPECIES
Fe 55.84 Fe.upf
O 16.00 O.upf
Sb 121.76 Sb.upf
ATOMIC_POSITIONS angstrom
Fe 5.188 2.594 3.385
Fe 0.000 0.000 0.000
O 2.594 5.188 3.385
O 2.594 2.594 0.000
Sb 3.474 1.297 1.692
Sb 6.485 6.069 5.077
Sb 1.714 3.891 1.692
Sb 3.891 4.308 5.077
CELL_PARAMETERS angstrom
5.188 0.000 0.000
0.000 5.188 0.000
2.594 2.594 6.770
! * final energy: -4.400 eV/atom
! * density of states at the Fermi level: 4.0 states/eV/f.u.
! * SG: I-42d
! * V: 22.8 A^3/atom

! Fe5Sb3O12 | Alexandria via LeMat-Bulk | PBE with a Hubbard U | relaxed; values from VASP
&SYSTEM
  ibrav = 0, nat = 80, ntyp = 3
/
ATOMIC_SPECIES
O 16.00 O.upf
Fe 55.84 Fe.upf
Sb 121.76 Sb.upf
ATOMIC_POSITIONS angstrom
O -1.342 0.052 7.247
O 4.051 1.324 7.981
O 4.542 1.498 1.125
O 5.494 2.844 3.277
O 0.496 6.378 5.962
O 5.888 -0.726 1.860
O -4.051 -0.052 7.247
O 4.445 -0.818 5.138
O 0.102 3.366 3.578
O -0.456 3.760 0.824
O 2.294 1.294 2.844
O 5.494 9.042 0.301
O 7.088 1.126 0.301
O 4.542 7.852 2.543
O -4.445 2.768 6.263
O 6.694 0.568 4.102
O -2.294 5.810 6.945
O 7.291 -2.240 5.528
O -3.696 7.324 3.277
O 2.253 6.408 0.824
O 2.648 4.266 3.668
O -0.496 0.726 1.860
O 8.040 2.316 2.543
O 7.645 5.136 1.559
O 4.896 5.652 4.704
O -1.899 2.240 5.528
O -0.947 -2.768 6.263
O 4.051 -1.376 8.071
O 4.937 5.032 1.559
O 1.899 -1.718 5.227
O 1.342 1.376 8.071
O -1.899 -3.958 8.505
O 1.696 6.802 3.578
O -0.947 3.586 7.680
O -3.493 3.958 8.505
O -3.099 4.516 4.704
O 1.342 -1.324 7.981
O -1.301 -0.568 4.102
O 2.253 3.708 0.735
O 3.099 -1.294 2.844
O -2.745 8.670 1.125
O 0.947 0.818 5.138
O 6.340 -3.586 7.680
O 1.301 3.790 5.962
O 4.091 4.358 6.945
O -0.456 6.460 0.735
O 3.493 1.718 5.227
O -0.850 5.902 3.668
Fe 6.291 -0.635 5.504
Fe -3.595 2.542 4.403
Fe -1.797 -2.542 4.403
Fe 2.696 7.626 2.201
Fe 4.494 4.448 3.302
Fe -0.899 2.542 2.201
Fe 0.000 0.000 0.000
Fe 4.494 2.542 6.604
Fe 2.696 1.906 1.101
Fe 5.392 0.000 0.000
Fe 4.494 -3.177 7.705
Fe -0.899 0.635 5.504
Fe -0.899 8.261 1.101
Fe 3.595 5.084 0.000
Fe 1.797 2.542 4.403
Fe 3.595 -2.542 4.403
Fe -2.696 5.719 3.302
Fe -1.797 5.084 0.000
Fe 0.899 -2.542 6.604
Fe 0.899 3.177 7.705
Sb -0.899 4.448 5.504
Sb 0.899 -0.635 3.302
Sb -2.696 -1.906 7.705
Sb -2.696 1.906 7.705
Sb 2.696 5.719 5.504
Sb 4.494 0.635 3.302
Sb 6.291 6.990 1.101
Sb 0.899 5.084 2.201
Sb 8.089 0.000 2.201
Sb 2.696 0.000 6.604
Sb -4.494 5.084 6.604
Sb 6.291 3.177 1.101
CELL_PARAMETERS angstrom
10.785 0.000 0.000
-3.595 10.168 0.000
-3.595 -5.084 8.806
! * final energy: -6.072 eV/atom
! * density of states at the Fermi level: 2.7 states/eV/f.u.
! * SG: Ia-3d
! * V: 12.1 A^3/atom

! ScFe2SbO6 | Alexandria via LeMat-Bulk | PBE with a Hubbard U | relaxed; values from VASP
&SYSTEM
  ibrav = 0, nat = 10, ntyp = 4
/
ATOMIC_SPECIES
O 16.00 O.upf
Sc 44.96 Sc.upf
Fe 55.84 Fe.upf
Sb 121.76 Sb.upf
ATOMIC_POSITIONS angstrom
O 4.375 1.353 1.170
O 6.068 1.631 3.628
O 6.082 4.352 3.571
O 4.266 4.708 1.138
O 7.235 3.119 1.133
O 3.692 3.041 3.620
Sc 7.948 4.533 2.669
Fe 5.257 3.028 1.963
Fe 2.645 1.488 4.569
Sb 2.644 1.522 0.163
CELL_PARAMETERS angstrom
5.290 -0.006 -0.002
2.640 4.577 -0.034
2.641 1.489 4.744
! * final energy: -6.944 eV/atom
! * density of states at the Fermi level: 0.0 states/eV/f.u.
! * SG: P1
! * V: 11.5 A^3/atom

! Sc2FeSbO6 | Alexandria via LeMat-Bulk | PBE with a Hubbard U | relaxed; values from VASP
&SYSTEM
  ibrav = 0, nat = 10, ntyp = 4
/
ATOMIC_SPECIES
O 16.00 O.upf
Sb 121.76 Sb.upf
Sc 44.96 Sc.upf
Fe 55.84 Fe.upf
ATOMIC_POSITIONS angstrom
O 4.311 4.679 1.280
O 7.283 3.326 1.238
O 3.883 3.117 3.691
O 6.240 4.587 3.691
O 4.672 1.452 1.217
O 6.305 1.816 3.697
Sb 2.713 1.576 0.337
Sc 5.431 3.135 2.145
Sc 2.741 1.588 4.527
Fe 8.147 4.744 2.827
CELL_PARAMETERS angstrom
5.430 -0.008 0.042
2.708 4.732 0.041
2.750 1.595 4.838
! * final energy: -7.577 eV/atom
! * density of states at the Fermi level: 3.1 states/eV/f.u.
! * SG: P1
! * V: 12.4 A^3/atom